This record from the Alexandria database describes a geometry-optimized TaIrO2 structure. The functional is PBE.

Geometry as CIF:
```
data_TaIrO2
_chemical_formula_sum 'Ta3 Ir3 O6'
_symmetry_space_group_name_H-M 'R -3 m'
_symmetry_Int_Tables_number 166
_symmetry_space_group_name_Hall '-R 3 2"'
_cell_length_a 3.2633
_cell_length_b 3.2633
_cell_length_c 17.2626
_cell_angle_alpha 90.00
_cell_angle_beta 90.00
_cell_angle_gamma 120.00
loop_
_atom_site_label
_atom_site_fract_x
_atom_site_fract_y
_atom_site_fract_z
Ta1 0.0000 0.0000 0.0000
Ir1 0.0000 0.0000 0.5000
O1 0.0000 0.0000 0.1175
```

The value obtained for the energy above the most stable polymorph in this dataset is 873 meV per atom. For the magnetization, the calculation gives 0.00 μB per formula unit.

This record from the Alexandria database describes a geometry-optimized Li2LaScSe structure. The functional is PBE.

Geometry as CIF:
```
data_Li2LaScSe
_chemical_formula_sum 'Li2 La1 Sc1 Se1'
_symmetry_space_group_name_H-M 'P 4/m m m'
_symmetry_Int_Tables_number 123
_symmetry_space_group_name_Hall '-P 4 2'
_cell_length_a 4.934
_cell_length_b 4.934
_cell_length_c 5.237
_cell_angle_alpha 90.00
_cell_angle_beta 90.00
_cell_angle_gamma 90.00
loop_
_atom_site_label
_atom_site_fract_x
_atom_site_fract_y
_atom_site_fract_z
Li1 0.000 0.500 0.000
La1 0.000 0.000 0.500
Sc1 0.500 0.500 0.500
Se1 0.500 0.500 0.000
```

For the magnetization, the calculation gives 1.61 μB per formula unit. Its total energy is -4.049 eV/atom.

This record from the Alexandria database describes a geometry-optimized Ce2ZnGa4Cu3 structure. The functional is PBE.

Geometry as CIF:
```
data_Ce2ZnGa4Cu3
_chemical_formula_sum 'Ce2 Zn1 Ga4 Cu3'
_symmetry_space_group_name_H-M 'P -4 m 2'
_symmetry_Int_Tables_number 115
_cell_length_a 4.220
_cell_length_b 4.220
_cell_length_c 10.154
_cell_angle_alpha 90.00
_cell_angle_beta 90.00
_cell_angle_gamma 90.00
loop_
_symmetry_equiv_pos_as_xyz
'x,y,z'
'y,-x,-z'
'-x,-y,z'
'-y,x,-z'
'-x,y,z'
'-y,-x,-z'
'x,-y,z'
'y,x,-z'
loop_
_atom_site_label
_atom_site_fract_x
_atom_site_fract_y
_atom_site_fract_z
Ce1 0.000 0.500 0.250
Zn1 0.000 0.000 0.500
Ga1 0.000 0.000 0.000
Ga2 0.000 0.500 0.637
Ga3 0.500 0.500 0.000
Cu1 0.000 0.500 0.872
Cu2 0.500 0.500 0.500
```

For the magnetization, the calculation gives 0.84 μB per formula unit. The formation energy from the elements comes out at -414 meV/atom.

This record from the Alexandria database describes a geometry-optimized BaZnTe2 structure. The functional is PBE.

Geometry as CIF:
```
data_BaZnTe2
_chemical_formula_sum 'Ba1 Zn1 Te2'
_symmetry_space_group_name_H-M 'P 4/m m m'
_symmetry_Int_Tables_number 123
_symmetry_space_group_name_Hall '-P 4 2'
_cell_length_a 4.444
_cell_length_b 4.444
_cell_length_c 6.676
_cell_angle_alpha 90.00
_cell_angle_beta 90.00
_cell_angle_gamma 90.00
loop_
_atom_site_label
_atom_site_fract_x
_atom_site_fract_y
_atom_site_fract_z
Ba1 0.000 0.000 0.000
Zn1 0.000 0.000 0.500
Te1 0.500 0.500 0.252
```

For the magnetization, the calculation gives 0.00 μB per formula unit. Its total energy is -2.996 eV/atom.

This record from the Alexandria database describes a geometry-optimized SrAc2In2 structure. The functional is PBE.

Geometry as CIF:
```
data_SrAc2In2
_chemical_formula_sum 'Sr2 Ac4 In4'
_symmetry_space_group_name_H-M 'P 4/m b m'
_symmetry_Int_Tables_number 127
_symmetry_space_group_name_Hall '-P 4 2ab'
_cell_length_a 8.836
_cell_length_b 8.836
_cell_length_c 4.892
_cell_angle_alpha 90.00
_cell_angle_beta 90.00
_cell_angle_gamma 90.00
loop_
_atom_site_label
_atom_site_fract_x
_atom_site_fract_y
_atom_site_fract_z
Sr1 0.000 0.000 0.000
Ac1 0.168 0.332 0.500
In1 0.123 0.623 0.000
```

The value obtained for the energy above the most stable polymorph in this dataset is 0 meV per atom. For the magnetization, the calculation gives 0.38 μB per formula unit. The formation energy from the elements comes out at -349 meV/atom.

This record from the Alexandria database describes a geometry-optimized LiNiBr structure. The functional is PBE.

Geometry as CIF:
```
data_LiNiBr
_chemical_formula_sum 'Li2 Ni2 Br2'
_symmetry_space_group_name_H-M 'P 1'
_symmetry_Int_Tables_number 1
_cell_length_a 4.194
_cell_length_b 4.272
_cell_length_c 8.170
_cell_angle_alpha 86.02
_cell_angle_beta 76.74
_cell_angle_gamma 60.64
loop_
_symmetry_equiv_pos_as_xyz
'x,y,z'
loop_
_atom_site_label
_atom_site_fract_x
_atom_site_fract_y
_atom_site_fract_z
Li1 0.000 0.000 0.000
Li2 0.207 0.389 0.223
Ni1 0.366 0.356 0.902
Ni2 0.657 0.659 0.029
Br1 0.483 0.748 0.322
Br2 0.899 0.418 0.759
```

The value obtained for the energy above the most stable polymorph in this dataset is 68 meV per atom. For the magnetization, the calculation gives 0.00 μB per formula unit.